No. 1
# PBE-GGA La2SbF, relaxed
data_La2SbF
_cell_length_a 4.249
_cell_length_b 4.249
_cell_length_c 7.217
_cell_angle_alpha 72.88
_cell_angle_beta 72.88
_cell_angle_gamma 60.00
_space_group_name_H-M_alt 'P 1'
_space_group_IT_number 1
_space_group_name_Hall 'P 1'
loop_
_atom_site_label
_atom_site_type_symbol
_atom_site_fract_x
_atom_site_fract_y
_atom_site_fract_z
La1 La 0.736 0.736 0.791
La2 La 0.264 0.264 0.209
F1 F 0.000 0.000 0.000
Sb1 Sb 0.500 0.500 0.500
# Distance to the lowest polymorph of the same formula, meV per atom: 98.4
# Magnetization, μB per cell: 0.00
# DOS(E_F), states/eV/atom: 0.3898
# ρ, g/cm3: 6.549
# Total energy, Ry per atom: -0.4232


No. 2
# PBE-GGA MgSc2, relaxed
data_MgSc2
_cell_length_a 8.851
_cell_length_b 8.851
_cell_length_c 3.175
_cell_angle_alpha 90.00
_cell_angle_beta 90.00
_cell_angle_gamma 120.00
_space_group_name_H-M_alt 'P 1'
_space_group_IT_number 1
_space_group_name_Hall 'P 1'
loop_
_atom_site_label
_atom_site_type_symbol
_atom_site_fract_x
_atom_site_fract_y
_atom_site_fract_z
Sc1 Sc 0.365 0.000 0.000
Sc2 Sc 0.000 0.365 0.000
Sc3 Sc 0.635 0.635 0.000
Sc4 Sc 0.303 0.304 0.500
Sc5 Sc 0.000 0.696 0.500
Sc6 Sc 0.696 0.000 0.500
Mg1 Mg 0.667 0.333 0.500
Mg2 Mg 0.000 0.000 0.000
Mg3 Mg 0.333 0.667 0.500
# Magnetization, μB per cell: 0.00
# DOS(E_F), states/eV/atom: 1.4969
# ρ, g/cm3: 2.641
# Total energy, Ry per atom: -0.3461


No. 3
# PBE-GGA Li3BiCl, relaxed
data_Li3BiCl
_cell_length_a 5.378
_cell_length_b 5.378
_cell_length_c 5.378
_cell_angle_alpha 90.00
_cell_angle_beta 90.00
_cell_angle_gamma 90.00
_space_group_name_H-M_alt 'P 1'
_space_group_IT_number 1
_space_group_name_Hall 'P 1'
loop_
_atom_site_label
_atom_site_type_symbol
_atom_site_fract_x
_atom_site_fract_y
_atom_site_fract_z
Cl1 Cl 0.500 0.500 0.500
Li1 Li 0.000 0.000 0.500
Li2 Li 0.500 0.000 0.000
Li3 Li 0.000 0.500 0.000
Bi1 Bi 0.000 0.000 0.000
# Distance to the lowest polymorph of the same formula, meV per atom: 471.4
# Magnetization, μB per cell: 1.00
# DOS(E_F), states/eV/atom: 2.3485
# ρ, g/cm3: 2.832
# Total energy, Ry per atom: -0.1944